VASP calculation (PBE-GGA) on a relaxed structure of LaTeMo2.

Computed properties:
Size of the total moment, μB per formula unit: 0.00
ΔE_f (raw), eV/atom: 0.4931

```
data_LaTeMo2
_chemical_formula_sum 'La4 Te4 Mo8'
_cell_length_a 6.987
_cell_length_b 6.987
_cell_length_c 6.987
_cell_angle_alpha 90.00
_cell_angle_beta 90.00
_cell_angle_gamma 90.00
_space_group_name_H-M_alt 'F -4 3 m'
_space_group_IT_number 216
_space_group_name_Hall 'F -4 2 3'
loop_
_atom_site_label
_atom_site_type_symbol
_atom_site_fract_x
_atom_site_fract_y
_atom_site_fract_z
_atom_site_occupancy
La1 La 0.000 0.000 0.000 1
Te1 Te 0.250 0.250 0.250 1
Mo1 Mo 0.000 0.000 0.500 1
Mo2 Mo 0.250 0.250 0.750 1
```

=====

VASP calculation (PBE-GGA) on a relaxed structure of LiGd2Sc.

Computed properties:
ΔE to the lowest computed polymorph, meV per atom: 31
Size of the total moment, μB per formula unit: 14.90

```
data_LiGd2Sc
_chemical_formula_sum 'Li1 Gd2 Sc1'
_cell_length_a 5.484
_cell_length_b 5.484
_cell_length_c 3.638
_cell_angle_alpha 90.00
_cell_angle_beta 90.00
_cell_angle_gamma 90.00
_space_group_name_H-M_alt 'P 4/m m m'
_space_group_IT_number 123
_space_group_name_Hall '-P 4 2'
loop_
_atom_site_label
_atom_site_type_symbol
_atom_site_fract_x
_atom_site_fract_y
_atom_site_fract_z
_atom_site_occupancy
Li1 Li 0.000 0.000 0.000 1
Gd1 Gd 0.000 0.500 0.500 1
Sc1 Sc 0.500 0.500 0.000 1
```

=====

VASP calculation (PBE-GGA) on a relaxed structure of NaIn2Cu.

Computed properties:
Size of the total moment, μB per formula unit: 0.00
Final energy, eV per formula unit: -11.01

```
data_NaIn2Cu
_chemical_formula_sum 'Na1 In2 Cu1'
_cell_length_a 3.230
_cell_length_b 3.230
_cell_length_c 8.573
_cell_angle_alpha 90.00
_cell_angle_beta 90.00
_cell_angle_gamma 90.00
_space_group_name_H-M_alt 'P 4/m m m'
_space_group_IT_number 123
_space_group_name_Hall '-P 4 2'
loop_
_atom_site_label
_atom_site_type_symbol
_atom_site_fract_x
_atom_site_fract_y
_atom_site_fract_z
_atom_site_occupancy
Na1 Na 0.000 0.000 0.000 1
In1 In 0.500 0.500 0.301 1
Cu1 Cu 0.000 0.000 0.500 1
```

=====

VASP calculation (PBE-GGA) on a relaxed structure of TaCu2Ir.

Computed properties:
ΔE to the lowest computed polymorph, meV per atom: 94
Size of the total moment, μB per formula unit: 0.00

```
data_TaCu2Ir
_chemical_formula_sum 'Ta4 Cu8 Ir4'
_cell_length_a 6.135
_cell_length_b 6.135
_cell_length_c 6.135
_cell_angle_alpha 90.00
_cell_angle_beta 90.00
_cell_angle_gamma 90.00
_space_group_name_H-M_alt 'F -4 3 m'
_space_group_IT_number 216
_space_group_name_Hall 'F -4 2 3'
loop_
_atom_site_label
_atom_site_type_symbol
_atom_site_fract_x
_atom_site_fract_y
_atom_site_fract_z
_atom_site_occupancy
Ta1 Ta 0.000 0.000 0.000 1
Cu1 Cu 0.000 0.000 0.500 1
Cu2 Cu 0.250 0.250 0.750 1
Ir1 Ir 0.250 0.250 0.250 1
```

=====

VASP calculation (PBE-GGA) on a relaxed structure of Li2GePdAu5.

Computed properties:
Size of the total moment, μB per formula unit: 0.00
Final energy, eV per formula unit: -30.97

```
data_Li2GePdAu5
_chemical_formula_sum 'Li8 Ge4 Pd4 Au20'
_cell_length_a 6.118
_cell_length_b 6.118
_cell_length_c 16.007
_cell_angle_alpha 90.00
_cell_angle_beta 90.00
_cell_angle_gamma 90.00
_space_group_name_H-M_alt 'I 4/m c m'
_space_group_IT_number 140
_space_group_name_Hall '-I 4 2c'
loop_
_atom_site_label
_atom_site_type_symbol
_atom_site_fract_x
_atom_site_fract_y
_atom_site_fract_z
_atom_site_occupancy
Li1 Li 0.119 0.381 0.000 1
Ge1 Ge 0.000 0.000 0.250 1
Pd1 Pd 0.000 0.500 0.250 1
Au1 Au 0.000 0.000 0.000 1
Au2 Au 0.225 0.275 0.370 1
```

=====

VASP calculation (PBE-GGA) on a relaxed structure of Ta2AuCl.

Computed properties:
ΔE to the lowest computed polymorph, meV per atom: 26
Size of the total moment, μB per formula unit: 0.00
ΔE_f (raw), eV/atom: -0.1218

```
data_Ta2AuCl
_chemical_formula_sum 'Ta2 Au1 Cl1'
_cell_length_a 2.940
_cell_length_b 2.940
_cell_length_c 9.288
_cell_angle_alpha 90.00
_cell_angle_beta 90.00
_cell_angle_gamma 90.00
_space_group_name_H-M_alt 'P 4 m m'
_space_group_IT_number 99
loop_
_space_group_symop_operation_xyz
'x,y,z'
'-y,x,z'
'-x,-y,z'
'y,-x,z'
'-x,y,z'
'y,x,z'
'x,-y,z'
'-y,-x,z'
loop_
_atom_site_label
_atom_site_type_symbol
_atom_site_fract_x
_atom_site_fract_y
_atom_site_fract_z
_atom_site_occupancy
Ta1 Ta 0.000 0.000 0.000 1
Ta2 Ta 0.500 0.500 0.237 1
Au1 Au 0.000 0.000 0.449 1
Cl1 Cl 0.500 0.500 0.819 1
```

=====

VASP calculation (PBE-GGA) on a relaxed structure of BeBH6.

Computed properties:
Size of the total moment, μB per formula unit: 0.00
Final energy, eV per formula unit: -27.74

```
data_BeBH6
_chemical_formula_sum 'Be2 B2 H12'
_cell_length_a 3.614
_cell_length_b 7.871
_cell_length_c 3.545
_cell_angle_alpha 90.00
_cell_angle_beta 107.45
_cell_angle_gamma 90.00
_space_group_name_H-M_alt 'C 1 2/m 1'
_space_group_IT_number 12
loop_
_space_group_symop_operation_xyz
'x,y,z'
'-x,-y,-z'
'-x,y,-z'
'x,-y,z'
'x+1/2,y+1/2,z'
'-x+1/2,-y+1/2,-z'
'-x+1/2,y+1/2,-z'
'x+1/2,-y+1/2,z'
loop_
_atom_site_label
_atom_site_type_symbol
_atom_site_fract_x
_atom_site_fract_y
_atom_site_fract_z
_atom_site_occupancy
Be1 Be 0.000 0.000 0.000 1
B1 B 0.000 0.500 0.500 1
H1 H 0.221 0.371 0.734 1
H2 H 0.235 0.500 0.270 1
```

=====

VASP calculation (PBE-GGA) on a relaxed structure of BiSb2TePt.

Computed properties:
ΔE to the lowest computed polymorph, meV per atom: 0
Size of the total moment, μB per formula unit: 0.00
ΔE_f (raw), eV/atom: 0.2794

```
data_BiSb2TePt
_chemical_formula_sum 'Bi1 Sb2 Te1 Pt1'
_cell_length_a 5.220
_cell_length_b 5.220
_cell_length_c 5.511
_cell_angle_alpha 90.00
_cell_angle_beta 90.00
_cell_angle_gamma 90.00
_space_group_name_H-M_alt 'P 4/m m m'
_space_group_IT_number 123
_space_group_name_Hall '-P 4 2'
loop_
_atom_site_label
_atom_site_type_symbol
_atom_site_fract_x
_atom_site_fract_y
_atom_site_fract_z
_atom_site_occupancy
Bi1 Bi 0.000 0.000 0.000 1
Sb1 Sb 0.000 0.500 0.500 1
Te1 Te 0.500 0.500 0.000 1
Pt1 Pt 0.500 0.500 0.500 1
```

=====

VASP calculation (PBE-GGA) on a relaxed structure of Ca2Ga6Ni9.

Computed properties:
Size of the total moment, μB per formula unit: 0.00
Final energy, eV per formula unit: -79.47

```
data_Ca2Ga6Ni9
_chemical_formula_sum 'Ca2 Ga6 Ni9'
_cell_length_a 5.2178
_cell_length_b 5.2178
_cell_length_c 11.4263
_cell_angle_alpha 90.00
_cell_angle_beta 90.00
_cell_angle_gamma 120.00
_space_group_name_H-M_alt 'P 6/m m m'
_space_group_IT_number 191
_space_group_name_Hall '-P 6 2'
loop_
_atom_site_label
_atom_site_type_symbol
_atom_site_fract_x
_atom_site_fract_y
_atom_site_fract_z
_atom_site_occupancy
Ca1 Ca 0.0000 0.0000 0.1878 1
Ga1 Ga 0.3333 0.6667 0.1655 1
Ga2 Ga 0.3333 0.6667 0.5000 1
Ni1 Ni 0.0000 0.5000 0.0000 1
Ni2 Ni 0.0000 0.5000 0.3325 1
```

=====

VASP calculation (PBE-GGA) on a relaxed structure of Cs2PaSb3O12.

Computed properties:
Size of the total moment, μB per formula unit: 1.74
ΔE_f (raw), eV/atom: -1.7929

```
data_Cs2PaSb3O12
_chemical_formula_sum 'Cs6 Pa3 Sb9 O36'
_cell_length_a 7.4652
_cell_length_b 7.4652
_cell_length_c 19.3467
_cell_angle_alpha 90.00
_cell_angle_beta 90.00
_cell_angle_gamma 120.00
_space_group_name_H-M_alt 'R -3 m'
_space_group_IT_number 166
_space_group_name_Hall '-R 3 2"'
loop_
_atom_site_label
_atom_site_type_symbol
_atom_site_fract_x
_atom_site_fract_y
_atom_site_fract_z
_atom_site_occupancy
Cs1 Cs 0.0000 0.0000 0.1185 1
Pa1 Pa 0.0000 0.0000 0.5000 1
Sb1 Sb 0.0000 0.5000 0.0000 1
O1 O 0.0649 0.5325 0.1008 1
O2 O 0.0691 0.5345 0.3531 1
```

=====

VASP calculation (PBE-GGA) on a relaxed structure of SrBOs.

Computed properties:
ΔE to the lowest computed polymorph, meV per atom: 0
Size of the total moment, μB per formula unit: 0.00

```
data_SrBOs
_chemical_formula_sum 'Sr2 B2 Os2'
_cell_length_a 4.074
_cell_length_b 4.074
_cell_length_c 8.744
_cell_angle_alpha 90.00
_cell_angle_beta 90.00
_cell_angle_gamma 90.00
_space_group_name_H-M_alt 'P 4/n m m'
_space_group_IT_number 129
loop_
_space_group_symop_operation_xyz
'x,y,z'
'-x,-y,-z'
'-y+1/2,x,z'
'y+1/2,-x,-z'
'-x+1/2,-y+1/2,z'
'x+1/2,y+1/2,-z'
'y,-x+1/2,z'
'-y,x+1/2,-z'
'x+1/2,-y,-z'
'-x+1/2,y,z'
'-y,-x,-z'
'y,x,z'
'-x,y+1/2,-z'
'x,-y+1/2,z'
'y+1/2,x+1/2,-z'
'-y+1/2,-x+1/2,z'
loop_
_atom_site_label
_atom_site_type_symbol
_atom_site_fract_x
_atom_site_fract_y
_atom_site_fract_z
_atom_site_occupancy
Sr1 Sr 0.250 0.250 0.212 1
B1 B 0.250 0.250 0.569 1
Os1 Os 0.250 0.750 0.500 1
```

=====

VASP calculation (PBE-GGA) on a relaxed structure of SrTl4Pb2.

Computed properties:
ΔE to the lowest computed polymorph, meV per atom: 0
Size of the total moment, μB per formula unit: 0.00

```
data_SrTl4Pb2
_chemical_formula_sum 'Sr2 Tl8 Pb4'
_cell_length_a 6.957
_cell_length_b 6.957
_cell_length_c 9.728
_cell_angle_alpha 90.00
_cell_angle_beta 90.00
_cell_angle_gamma 90.00
_space_group_name_H-M_alt 'I 4/m m m'
_space_group_IT_number 139
_space_group_name_Hall '-I 4 2'
loop_
_atom_site_label
_atom_site_type_symbol
_atom_site_fract_x
_atom_site_fract_y
_atom_site_fract_z
_atom_site_occupancy
Sr1 Sr 0.000 0.000 0.000 1
Tl1 Tl 0.250 0.250 0.250 1
Pb1 Pb 0.000 0.500 0.000 1
```